Here is a geometry-optimized Ho3Br3N2 structure from OQMD via LeMat-Bulk. Energies are from GGA-PBE.

POSCAR file:
```
Ho3Br3N2
1.0
4.488 0.000 0.000
0.000 4.488 0.000
0.000 0.000 12.338
Ho Br N
3 3 2
direct
0.000 0.000 0.000
0.000 0.000 0.500
0.500 0.500 0.000
0.500 0.500 0.236
0.500 0.500 0.500
0.500 0.500 0.764
0.000 0.500 0.999
0.500 0.000 0.001
```

Results
- E_tot: -41.08 eV for the cell shown
- Spin magnetization: 0.028 μB per atom
- Theoretical density: 5.09 g cm⁻³